Entry from Alexandria via LeMat-Bulk: an optimized crystal structure of SrCaBr (PBE).

a = 8.7436 Å, b = 8.2930 Å, c = 4.0567 Å
α = 82.50°, β = 70.11°, γ = 27.39°
Last column: nearest neighbours and their distance in Å.
Fractional coordinates of all 3 atoms:
1 Sr 0.6521 0.6521 0.3479  2 Br 3.27
2 Ca 0.3522 0.3522 0.6478  2 Br 3.11
3 Br 0.9957 0.9957 0.0043  2 Ca 3.11, 2 Sr 3.27

The volume is 117 Å³/f.u. As for the total DFT energy (no corrections): -2.66 eV/atom. The calculation puts the energy above the most stable polymorph in this dataset at 42 meV/atom. The energy relative to the elements, uncorrected is -0.8697 eV/atom.